The following is a GGA-PBE calculation of an optimized crystal structure of HoMg3Pt4, from Alexandria.

Summary:
The formation enthalpy at 0 K is -0.951 eV/atom. The density of states at the Fermi level comes out at 0.199 states/eV per atom. For the mass density, the calculation gives 12.17 g cm⁻³.

abc: 9.540 6.025 4.833
angles: 90.00 90.00 90.00
Positions (direct):
Ho (0.000, 0.000, 0.000)
Ho (0.500, 0.000, 0.000)
Mg (0.000, 0.500, 0.000)
Mg (0.250, 0.000, 0.458)
Mg (0.250, 0.500, 0.433)
Mg (0.500, 0.500, 0.000)
Mg (0.750, 0.000, 0.542)
Mg (0.750, 0.500, 0.567)
Pt (0.000, 0.261, 0.500)
Pt (0.000, 0.739, 0.500)
Pt (0.250, 0.263, 0.931)
Pt (0.250, 0.737, 0.931)
Pt (0.500, 0.261, 0.500)
Pt (0.500, 0.739, 0.500)
Pt (0.750, 0.263, 0.069)
Pt (0.750, 0.737, 0.069)



The following is a GGA-PBE calculation of an optimized crystal structure of HoMgPt, from Alexandria.

Summary:
The formation enthalpy at 0 K is -0.835 eV/atom. The density of states at the Fermi level comes out at 0.479 states/eV per atom. For the mass density, the calculation gives 9.43 g cm⁻³.

abc: 5.402 4.730 5.561
angles: 90.00 107.67 90.00
Positions (direct):
Ho (0.205, 0.250, 0.401)
Ho (0.795, 0.750, 0.599)
Mg (0.356, 0.750, 0.995)
Mg (0.644, 0.250, 0.005)
Pt (0.089, 0.250, 0.854)
Pt (0.911, 0.750, 0.146)



The following is a GGA-PBE calculation of an optimized crystal structure of Ho4Mg3Pt, from Alexandria.

Summary:
The formation enthalpy at 0 K is -0.377 eV/atom. The density of states at the Fermi level comes out at 1.048 states/eV per atom. For the mass density, the calculation gives 7.66 g cm⁻³.

abc: 3.658 3.658 15.025
angles: 90.00 90.00 90.00
Positions (direct):
Ho (0.000, 0.000, 0.106)
Ho (0.000, 0.000, 0.369)
Ho (0.000, 0.000, 0.631)
Ho (0.000, 0.000, 0.894)
Mg (0.500, 0.500, 0.240)
Mg (0.500, 0.500, 0.500)
Mg (0.500, 0.500, 0.760)
Pt (0.500, 0.500, 0.000)



The following is a GGA-PBE calculation of an optimized crystal structure of Ho3MgPt, from Alexandria.

Summary:
The formation enthalpy at 0 K is -0.409 eV/atom. The density of states at the Fermi level comes out at 1.073 states/eV per atom. For the mass density, the calculation gives 7.95 g cm⁻³.

abc: 3.906 9.055 9.055
angles: 111.35 90.00 90.00
Positions (direct):
Ho (0.000, 0.121, 0.879)
Ho (0.000, 0.284, 0.527)
Ho (0.000, 0.527, 0.284)
Ho (0.000, 0.879, 0.121)
Ho (0.500, 0.519, 0.887)
Ho (0.500, 0.887, 0.519)
Mg (0.000, 0.701, 0.701)
Mg (0.500, 0.202, 0.202)
Pt (0.500, 0.203, 0.703)
Pt (0.500, 0.703, 0.203)



The following is a GGA-PBE calculation of an optimized crystal structure of HoMg4Pt5, from Alexandria.

Summary:
The formation enthalpy at 0 K is -0.920 eV/atom. The density of states at the Fermi level comes out at 0.287 states/eV per atom. For the mass density, the calculation gives 12.04 g cm⁻³.

abc: 3.357 3.357 15.144
angles: 90.00 90.00 90.00
Positions (direct):
Ho (0.000, 0.000, 0.000)
Mg (0.000, 0.000, 0.212)
Mg (0.000, 0.000, 0.404)
Mg (0.000, 0.000, 0.596)
Mg (0.000, 0.000, 0.788)
Pt (0.500, 0.500, 0.112)
Pt (0.500, 0.500, 0.306)
Pt (0.500, 0.500, 0.500)
Pt (0.500, 0.500, 0.694)
Pt (0.500, 0.500, 0.888)



The following is a GGA-PBE calculation of an optimized crystal structure of Ho2MgPt9, from Alexandria.

Summary:
The formation enthalpy at 0 K is -0.891 eV/atom. The density of states at the Fermi level comes out at 1.036 states/eV per atom. For the mass density, the calculation gives 17.43 g cm⁻³.

abc: 4.070 4.070 12.133
angles: 90.00 90.00 90.00
Positions (direct):
Ho (0.000, 0.000, 0.171)
Ho (0.000, 0.000, 0.829)
Mg (0.000, 0.000, 0.500)
Pt (0.000, 0.500, 0.000)
Pt (0.000, 0.500, 0.343)
Pt (0.000, 0.500, 0.657)
Pt (0.500, 0.000, 0.000)
Pt (0.500, 0.000, 0.343)
Pt (0.500, 0.000, 0.657)
Pt (0.500, 0.500, 0.171)
Pt (0.500, 0.500, 0.500)
Pt (0.500, 0.500, 0.829)



The following is a GGA-PBE calculation of an optimized crystal structure of HoMgPt, from Alexandria.

Summary:
The formation enthalpy at 0 K is -0.879 eV/atom. The density of states at the Fermi level comes out at 0.564 states/eV per atom. For the mass density, the calculation gives 9.80 g cm⁻³.

abc: 5.945 5.945 11.178
angles: 101.09 101.09 42.34
Positions (direct):
Ho (0.093, 0.093, 0.148)
Ho (0.404, 0.404, 0.326)
Ho (0.596, 0.596, 0.674)
Ho (0.907, 0.907, 0.852)
Mg (0.143, 0.143, 0.457)
Mg (0.211, 0.211, 0.892)
Mg (0.789, 0.789, 0.108)
Mg (0.857, 0.857, 0.543)
Pt (0.306, 0.306, 0.679)
Pt (0.414, 0.414, 0.074)
Pt (0.586, 0.586, 0.926)
Pt (0.694, 0.694, 0.321)



The following is a GGA-PBE calculation of an optimized crystal structure of Ho4MgPt2, from Alexandria.

Summary:
The formation enthalpy at 0 K is -0.699 eV/atom. The density of states at the Fermi level comes out at 0.957 states/eV per atom. For the mass density, the calculation gives 9.61 g cm⁻³.

abc: 9.627 9.627 9.627
angles: 29.01 29.01 29.01
Positions (direct):
Ho (0.109, 0.109, 0.109)
Ho (0.297, 0.297, 0.297)
Ho (0.703, 0.703, 0.703)
Ho (0.891, 0.891, 0.891)
Mg (0.500, 0.500, 0.500)
Pt (0.402, 0.402, 0.402)
Pt (0.598, 0.598, 0.598)



The following is a GGA-PBE calculation of an optimized crystal structure of Ho6MgPt, from Alexandria.

Summary:
The formation enthalpy at 0 K is -0.044 eV/atom. The density of states at the Fermi level comes out at 1.417 states/eV per atom. For the mass density, the calculation gives 7.86 g cm⁻³.

abc: 7.048 7.052 7.184
angles: 90.14 119.24 119.88
Positions (direct):
Ho (0.038, 0.068, 0.255)
Ho (0.285, 0.717, 0.255)
Ho (0.311, 0.529, 0.745)
Ho (0.689, 0.471, 0.255)
Ho (0.715, 0.283, 0.745)
Ho (0.962, 0.932, 0.745)
Mg (0.500, 0.000, 0.000)
Pt (0.500, 0.500, 0.500)



The following is a GGA-PBE calculation of an optimized crystal structure of HoMgPt4, from Alexandria.

Summary:
The formation enthalpy at 0 K is -0.741 eV/atom. The density of states at the Fermi level comes out at 0.518 states/eV per atom. For the mass density, the calculation gives 15.42 g cm⁻³.

abc: 5.142 5.142 5.947
angles: 107.46 107.46 44.57
Positions (direct):
Ho (0.000, 0.000, 0.000)
Mg (0.000, 0.000, 0.500)
Pt (0.333, 0.333, 0.179)
Pt (0.339, 0.339, 0.654)
Pt (0.661, 0.661, 0.346)
Pt (0.667, 0.667, 0.821)



The following is a GGA-PBE calculation of an optimized crystal structure of Ho3MgPt3, from Alexandria.

Summary:
The formation enthalpy at 0 K is -0.950 eV/atom. The density of states at the Fermi level comes out at 0.464 states/eV per atom. For the mass density, the calculation gives 11.62 g cm⁻³.

abc: 6.850 6.850 7.456
angles: 93.47 93.47 114.76
Positions (direct):
Ho (0.188, 0.812, 0.000)
Ho (0.221, 0.779, 0.500)
Ho (0.357, 0.357, 0.135)
Ho (0.643, 0.643, 0.865)
Ho (0.779, 0.221, 0.500)
Ho (0.812, 0.188, 0.000)
Mg (0.292, 0.292, 0.524)
Mg (0.708, 0.708, 0.476)
Pt (0.013, 0.013, 0.271)
Pt (0.168, 0.461, 0.785)
Pt (0.461, 0.168, 0.785)
Pt (0.539, 0.832, 0.215)
Pt (0.832, 0.539, 0.215)
Pt (0.987, 0.987, 0.729)



The following is a GGA-PBE calculation of an optimized crystal structure of Ho2MgPt, from Alexandria.

Summary:
The formation enthalpy at 0 K is -0.682 eV/atom. The density of states at the Fermi level comes out at 0.851 states/eV per atom. For the mass density, the calculation gives 9.58 g cm⁻³.

abc: 3.607 3.607 7.318
angles: 90.00 90.00 90.00
Positions (direct):
Ho (0.000, 0.000, 0.219)
Ho (0.000, 0.000, 0.781)
Mg (0.500, 0.500, 0.500)
Pt (0.500, 0.500, 0.000)



> Which formula does entry 8 have?

Ho4MgPt2



> What is the formation enthalpy at 0 K in the sixth record?

-0.891 eV/atom



> What is the formula in the eighth record?

Ho4MgPt2